1.
A plane-wave DFT calculation with PBE-GGA was carried out for a geometry-optimized Ac4C2I5 structure.

## Properties
E_form (uncorrected) (eV/atom): -1.076
Crystal system: monoclinic
Fermi-level density of states (states/eV/f.u.): 2.11

Lattice parameters (Å, degrees): 10.796 10.796 9.295 104.27 104.27 22.66
Element x y z (fractional)
Ac: 0.001 0.001 0.306
Ac: 0.347 0.347 0.407
Ac: 0.653 0.653 0.593
Ac: 0.999 0.999 0.694
C: 0.466 0.466 0.479
C: 0.534 0.534 0.521
I: 0.161 0.161 0.871
I: 0.166 0.166 0.318
I: 0.500 0.500 0.000
I: 0.834 0.834 0.682
I: 0.839 0.839 0.129

2.
A plane-wave DFT calculation with PBE-GGA was carried out for a geometry-optimized KZnAu3 structure.

## Properties
ΔE_f (eV/atom): -0.18
Crystal system: hexagonal
Fermi-level density of states (states/eV/f.u.): 1.87

Lattice parameters (Å, degrees): 6.658 6.658 5.903 90.00 90.00 120.00
Element x y z (fractional)
K: 0.333 0.667 0.250
K: 0.667 0.333 0.750
Zn: 0.000 0.000 0.000
Zn: 0.000 0.000 0.500
Au: 0.191 0.383 0.750
Au: 0.191 0.809 0.750
Au: 0.383 0.191 0.250
Au: 0.617 0.809 0.750
Au: 0.809 0.191 0.250
Au: 0.809 0.617 0.250

3.
A plane-wave DFT calculation with PBE-GGA was carried out for a geometry-optimized La2Mn structure.

## Properties
ΔE_f (eV/atom): 0.38
Crystal system: hexagonal
Fermi-level density of states (states/eV/f.u.): 5.01

Lattice parameters (Å, degrees): 6.949 6.949 4.337 90.00 90.00 120.00
Element x y z (fractional)
La: 0.000 0.000 0.000
La: 0.000 0.500 0.500
La: 0.500 0.000 0.500
La: 0.500 0.500 0.500
Mn: 0.333 0.667 0.000
Mn: 0.667 0.333 0.000

4.
A plane-wave DFT calculation with PBE-GGA was carried out for a geometry-optimized PrHoGaIr structure.

## Properties
ΔE_f (eV/atom): -0.67
Crystal system: orthorhombic
Fermi-level density of states (states/eV/f.u.): 3.36

Lattice parameters (Å, degrees): 3.982 6.037 6.037 41.43 90.00 90.00
Element x y z (fractional)
Pr: 0.000 0.000 0.000
Ho: 0.500 0.285 0.285
Ga: 0.500 0.590 0.590
Ir: 0.000 0.735 0.735

5.
A plane-wave DFT calculation with PBE-GGA was carried out for a geometry-optimized SrVAs structure.

## Properties
ΔE_f (eV/atom): -0.66
Crystal system: tetragonal
Fermi-level density of states (states/eV/f.u.): 2.03

Lattice parameters (Å, degrees): 3.851 3.851 10.137 90.00 90.00 90.00
Element x y z (fractional)
Sr: 0.250 0.250 0.189
Sr: 0.750 0.750 0.811
V: 0.250 0.750 0.500
V: 0.750 0.250 0.500
As: 0.250 0.250 0.665
As: 0.750 0.750 0.335

6.
A plane-wave DFT calculation with PBE-GGA was carried out for a geometry-optimized BePt2 structure.

## Properties
ΔE_f (eV/atom): 0.24
Crystal system: hexagonal
Fermi-level density of states (states/eV/f.u.): 2.16

Lattice parameters (Å, degrees): 5.261 5.261 8.818 90.00 90.00 120.00
Element x y z (fractional)
Be: 0.333 0.667 0.048
Be: 0.333 0.667 0.452
Be: 0.667 0.333 0.548
Be: 0.667 0.333 0.952
Pt: 0.000 0.000 0.000
Pt: 0.000 0.000 0.500
Pt: 0.167 0.335 0.250
Pt: 0.167 0.833 0.250
Pt: 0.335 0.167 0.750
Pt: 0.665 0.833 0.250
Pt: 0.833 0.167 0.750
Pt: 0.833 0.665 0.750

7.
A plane-wave DFT calculation with PBE-GGA was carried out for a geometry-optimized Sr2YAg2 structure.

## Properties
ΔE_f (eV/atom): -0.18
Crystal system: tetragonal
Fermi-level density of states (states/eV/f.u.): 3.71

Lattice parameters (Å, degrees): 8.191 8.191 4.749 90.00 90.00 90.00
Element x y z (fractional)
Sr: 0.170 0.330 0.000
Sr: 0.330 0.830 0.000
Sr: 0.670 0.170 0.000
Sr: 0.830 0.670 0.000
Y: 0.000 0.000 0.500
Y: 0.500 0.500 0.500
Ag: 0.129 0.629 0.500
Ag: 0.371 0.129 0.500
Ag: 0.629 0.871 0.500
Ag: 0.871 0.371 0.500

8.
A plane-wave DFT calculation with PBE-GGA was carried out for a geometry-optimized ThP3Ru5 structure.

## Properties
ΔE_f (eV/atom): -0.62
Crystal system: orthorhombic
Fermi-level density of states (states/eV/f.u.): 5.80

Lattice parameters (Å, degrees): 6.360 6.360 12.105 90.00 90.00 144.33
Element x y z (fractional)
Th: 0.162 0.838 0.750
Th: 0.838 0.162 0.250
P: 0.127 0.873 0.250
P: 0.388 0.612 0.043
P: 0.388 0.612 0.457
P: 0.612 0.388 0.543
P: 0.612 0.388 0.957
P: 0.873 0.127 0.750
Ru: 0.000 0.000 0.000
Ru: 0.000 0.000 0.500
Ru: 0.207 0.793 0.076
Ru: 0.207 0.793 0.424
Ru: 0.444 0.556 0.647
Ru: 0.444 0.556 0.853
Ru: 0.556 0.444 0.147
Ru: 0.556 0.444 0.353
Ru: 0.793 0.207 0.576
Ru: 0.793 0.207 0.924

9.
A plane-wave DFT calculation with PBE-GGA was carried out for a geometry-optimized Ba3Tl4Bi2 structure.

## Properties
ΔE_f (eV/atom): -0.50
Crystal system: monoclinic
Fermi-level density of states (states/eV/f.u.): 4.98

Lattice parameters (Å, degrees): 7.233 7.233 10.375 106.04 106.04 42.13
Element x y z (fractional)
Ba: 0.000 0.000 0.000
Ba: 0.319 0.319 0.350
Ba: 0.681 0.681 0.650
Tl: 0.003 0.003 0.654
Tl: 0.237 0.237 0.914
Tl: 0.763 0.763 0.086
Tl: 0.997 0.997 0.346
Bi: 0.386 0.386 0.723
Bi: 0.614 0.614 0.277

10.
A plane-wave DFT calculation with PBE-GGA was carried out for a geometry-optimized Pa2Zn2O7 structure.

## Properties
E_form (uncorrected) (eV/atom): -2.589
Crystal system: monoclinic

Lattice parameters (Å, degrees): 5.678 5.678 5.324 96.53 96.53 101.52
Element x y z (fractional)
Pa: 0.205 0.795 0.000
Pa: 0.795 0.205 0.000
Zn: 0.259 0.259 0.567
Zn: 0.741 0.741 0.433
O: 0.060 0.422 0.793
O: 0.085 0.085 0.230
O: 0.422 0.060 0.793
O: 0.500 0.500 0.500
O: 0.578 0.940 0.207
O: 0.915 0.915 0.770
O: 0.940 0.578 0.207

11.
A plane-wave DFT calculation with PBE-GGA was carried out for a geometry-optimized YRuPt2 structure.

## Properties
ΔE_f (eV/atom): -0.13
Crystal system: tetragonal
Fermi-level density of states (states/eV/f.u.): 6.29

Lattice parameters (Å, degrees): 9.903 9.903 9.903 156.67 156.67 33.23
Element x y z (fractional)
Y: 0.000 0.000 0.000
Y: 0.750 0.250 0.500
Ru: 0.250 0.750 0.500
Ru: 0.500 0.500 0.000
Pt: 0.149 0.625 0.024
Pt: 0.375 0.399 0.524
Pt: 0.601 0.125 0.976
Pt: 0.875 0.851 0.476

12.
A plane-wave DFT calculation with PBE-GGA was carried out for a geometry-optimized Ac2In12Rh7 structure.

## Properties
ΔE_f (eV/atom): -0.43
Crystal system: hexagonal
Fermi-level density of states (states/eV/f.u.): 12.67

Lattice parameters (Å, degrees): 10.896 10.896 4.385 90.00 90.00 120.00
Element x y z (fractional)
Ac: 0.000 0.000 0.000
Ac: 0.333 0.667 0.500
In: 0.030 0.746 0.500
In: 0.138 0.395 0.000
In: 0.254 0.284 0.500
In: 0.256 0.862 0.000
In: 0.381 0.187 0.000
In: 0.541 0.124 0.500
In: 0.582 0.459 0.500
In: 0.605 0.744 0.000
In: 0.716 0.970 0.500
In: 0.806 0.619 0.000
In: 0.813 0.194 0.000
In: 0.876 0.418 0.500
Rh: 0.035 0.577 0.000
Rh: 0.246 0.019 0.500
Rh: 0.423 0.458 0.000
Rh: 0.542 0.965 0.000
Rh: 0.667 0.333 0.000
Rh: 0.773 0.754 0.500
Rh: 0.981 0.227 0.500

13.
A plane-wave DFT calculation with PBE-GGA was carried out for a geometry-optimized DyTm4Lu structure.

## Properties
ΔE_f (eV/atom): 0.27
Crystal system: cubic
Fermi-level density of states (states/eV/f.u.): 9.59

Lattice parameters (Å, degrees): 6.455 6.455 6.455 60.00 60.00 60.00
Element x y z (fractional)
Dy: 0.000 0.000 0.000
Tm: 0.375 0.375 0.375
Tm: 0.375 0.375 0.875
Tm: 0.375 0.875 0.375
Tm: 0.875 0.375 0.375
Lu: 0.750 0.750 0.750

14.
A plane-wave DFT calculation with PBE-GGA was carried out for a geometry-optimized AcCe2S3 structure.

## Properties
E_form (uncorrected) (eV/atom): -1.997
Crystal system: orthorhombic
Fermi-level density of states (states/eV/f.u.): 11.63

Lattice parameters (Å, degrees): 7.152 7.152 7.152 146.53 131.64 60.09
Element x y z (fractional)
Ac: 0.000 0.000 0.000
Ce: 0.336 0.336 0.000
Ce: 0.664 0.664 0.000
S: 0.176 0.676 0.500
S: 0.500 0.000 0.500
S: 0.824 0.324 0.500

15.
A plane-wave DFT calculation with PBE-GGA was carried out for a geometry-optimized SrLiY2Ru structure.

## Properties
ΔE_f (eV/atom): 0.04
Crystal system: tetragonal
Fermi-level density of states (states/eV/f.u.): 3.77

Lattice parameters (Å, degrees): 5.274 5.274 5.585 90.00 90.00 90.00
Element x y z (fractional)
Sr: 0.000 0.000 0.000
Li: 0.500 0.500 0.000
Y: 0.000 0.500 0.500
Y: 0.500 0.000 0.500
Ru: 0.500 0.500 0.500

16.
A plane-wave DFT calculation with PBE-GGA was carried out for a geometry-optimized CuBTe2C structure.

## Properties
E_form (uncorrected) (eV/atom): 0.764
Crystal system: tetragonal
Fermi-level density of states (states/eV/f.u.): 2.83

Lattice parameters (Å, degrees): 5.937 5.937 2.830 90.00 90.00 90.00
Element x y z (fractional)
Cu: 0.000 0.000 0.000
B: 0.500 0.500 0.000
Te: 0.000 0.500 0.500
Te: 0.500 0.000 0.500
C: 0.500 0.500 0.500

17.
A plane-wave DFT calculation with PBE-GGA was carried out for a geometry-optimized BeFeP2 structure.

## Properties
ΔE_f (eV/atom): 0.16
Crystal system: orthorhombic
Fermi-level density of states (states/eV/f.u.): 1.85

Lattice parameters (Å, degrees): 2.957 3.025 5.122 90.00 90.00 90.00
Element x y z (fractional)
Be: 0.000 0.000 0.000
Fe: 0.000 0.000 0.500
P: 0.500 0.500 0.261
P: 0.500 0.500 0.739

18.
A plane-wave DFT calculation with PBE-GGA was carried out for a geometry-optimized Na2CaGa3Au12 structure.

## Properties
ΔE_f (eV/atom): -0.19
Crystal system: trigonal
Fermi-level density of states (states/eV/f.u.): 5.28

Lattice parameters (Å, degrees): 7.144 7.144 7.144 85.23 85.23 85.23
Element x y z (fractional)
Na: 0.115 0.115 0.115
Na: 0.885 0.885 0.885
Ca: 0.500 0.500 0.500
Ga: 0.000 0.500 0.500
Ga: 0.500 0.000 0.500
Ga: 0.500 0.500 0.000
Au: 0.126 0.126 0.558
Au: 0.126 0.558 0.126
Au: 0.185 0.698 0.698
Au: 0.302 0.302 0.815
Au: 0.302 0.815 0.302
Au: 0.442 0.874 0.874
Au: 0.558 0.126 0.126
Au: 0.698 0.185 0.698
Au: 0.698 0.698 0.185
Au: 0.815 0.302 0.302
Au: 0.874 0.442 0.874
Au: 0.874 0.874 0.442

19.
A plane-wave DFT calculation with PBE-GGA was carried out for a geometry-optimized BaV2Co structure.

## Properties
ΔE_f (eV/atom): 0.98
Crystal system: tetragonal
Fermi-level density of states (states/eV/f.u.): 5.89

Lattice parameters (Å, degrees): 8.438 8.438 8.438 143.91 143.91 51.96
Element x y z (fractional)
Ba: 0.375 0.625 0.750
Ba: 0.625 0.375 0.250
V: 0.000 0.000 0.000
V: 0.000 0.000 0.500
V: 0.000 0.500 0.000
V: 0.500 0.000 0.500
Co: 0.125 0.875 0.250
Co: 0.875 0.125 0.750

20.
A plane-wave DFT calculation with PBE-GGA was carried out for a geometry-optimized Pr3ZnGe structure.

## Properties
ΔE_f (eV/atom): -0.40
Crystal system: triclinic
Fermi-level density of states (states/eV/f.u.): 4.58

Lattice parameters (Å, degrees): 4.292 7.587 9.064 89.14 88.90 75.07
Element x y z (fractional)
Pr: 0.039 0.405 0.174
Pr: 0.241 0.018 0.823
Pr: 0.384 0.690 0.404
Pr: 0.616 0.310 0.596
Pr: 0.759 0.982 0.177
Pr: 0.961 0.595 0.826
Zn: 0.218 0.095 0.432
Zn: 0.782 0.905 0.568
Ge: 0.393 0.712 0.066
Ge: 0.607 0.288 0.934

Summary of size of the total moment in μB per cell
0.00, 0.00, 4.41, 0.00, 0.00, 0.00, 0.00, 0.00, 0.00, 0.10, 0.16, 0.00, 0.02, 1.60, 0.00, 0.00, 1.12, 0.00, 7.75, 0.00
(order as listed above)
Summary of calculated density in g/cm3
6.4, 10.2, 6.1, 9.8, 4.7, 12.5, 5.0, 9.7, 7.9, 7.1, 12.7, 9.4, 8.8, 6.7, 4.0, 5.7, 4.6, 12.2, 4.8, 6.5
(order as listed above)
Summary of energy in eV per cell
-54.5, -26.2, -35.8, -23.9, -34.8, -60.3, -32.9, -151.3, -27.5, -84.7, -56.7, -101.6, -25.4, -40.3, -25.6, -22.5, -22.4, -56.4, -46.7, -44.4
(order as listed above)